This record from Alexandria via LeMat-Bulk describes a geometry-optimized MgTlSi2 structure. The functional is PBE.

**Formation energy from raw total energies**: 158 meV per atom
**Energy relative to the lowest polymorph listed for this composition**: 0 meV/atom
**Density of states at the Fermi level**: 4.90 states/eV per cell
**DFT total energy**: -3.544 eV/atom

a = 3.741 Å, b = 3.741 Å, c = 22.349 Å
α = 90.00°, β = 90.00°, γ = 120.00°
Atoms (fractional coordinates):
Mg  0.000  0.000  0.000
Mg  0.333  0.667  0.667
Mg  0.667  0.333  0.333
Tl  0.000  0.000  0.227
Tl  0.333  0.667  0.893
Tl  0.667  0.333  0.560
Si  0.000  0.000  0.458
Si  0.000  0.000  0.748
Si  0.333  0.667  0.124
Si  0.333  0.667  0.414
Si  0.667  0.333  0.081
Si  0.667  0.333  0.791